{
  "formula": "SmEr2TmIn4",
  "functional": "GGA-PBE",
  "state": "optimized geometry",
  "lattice": [[-2.1550, 3.4469, 3.4065], [-4.1849, -1.4296, 2.9279], [3.2280, -2.1643, 8.3608]],
  "species": ["Er", "Sm", "In", "In", "In", "In", "Tm", "Er"],
  "fractional_positions": [[0.2494, 0.2494, 0.2518], [0.0000, 0.0000, 0.0000], [0.1263, 0.1263, 0.6211], [0.3764, 0.3764, 0.8708], [0.8737, 0.8737, 0.3789], [0.6236, 0.6236, 0.1292], [0.5000, 0.5000, 0.5000], [0.7506, 0.7506, 0.7482]],
  "delta_e_f_mev_per_atom": -446
}